Entry from the Alexandria database: a geometry-optimized NaI5 structure (PBE).

Calculated values
Total moment, μB/cell: 0.00
Raw total energy, eV/atom: -1.8032
Volume, Å³/atom: 46.93

a b c (Å): 4.5403 4.5501 13.8175
angles (deg): 99.48 90.00 90.00
Positions (direct):
1 I 0.5000 0.8331 0.6662
2 I 0.5000 0.1669 0.3338
3 I 0.5000 0.5000 0.0000
4 I 0.0000 0.3331 0.6662
5 I 0.0000 0.6669 0.3338
6 Na 0.0000 0.0000 0.0000